Entry 1:
# CaYOs2

CaYOs2 after structural relaxation (GGA-PBE, Alexandria).

Properties
As for the calculated volume: 19.06 Å³/atom. Its calculated formation energy is 52.7 kJ/mol of atoms.

abc: 3.3636 4.5764 4.9526
angles: 90.00 90.00 90.00
Last column: nearest neighbours and their distance in Å.
Element x y z (fractional)
Ca  0.0000  0.0000  0.0000  4 Os 2.84, 4 Y 2.99
Y  0.5000  0.0000  0.5000  4 Os 2.84, 4 Ca 2.99
Os  0.0000  0.5000  0.5000  4 Y 2.84, 4 Os 2.99
Os  0.5000  0.5000  0.0000  4 Ca 2.84, 4 Os 2.99

Entry 2:
# CoRe2AgB

CoRe2AgB after structural relaxation (GGA-PBE, Alexandria).

Properties
As for the calculated volume: 13.41 Å³/atom. Its calculated formation energy is 50.0 kJ/mol of atoms.

abc: 4.1416 4.1416 3.9102
angles: 90.00 90.00 90.00
Last column: nearest neighbours and their distance in Å.
Element x y z (fractional)
Co  0.0000  0.0000  0.0000  2 B 1.96
Re  0.0000  0.5000  0.5000  2 B 2.07
Re  0.5000  0.0000  0.5000  2 B 2.07
Ag  0.5000  0.5000  0.0000  8 Re 2.85, 4 Co 2.93
B  0.0000  0.0000  0.5000  2 Co 1.96, 4 Re 2.07

Entry 3:
# FeAg2Se

FeAg2Se after structural relaxation (GGA-PBE, Alexandria).

Properties
Its total energy is -4.060 eV per atom. As for the calculated volume: 17.46 Å³/atom.

abc: 5.5033 5.5033 5.5033
angles: 144.09 133.85 59.82
Last column: nearest neighbours and their distance in Å.
Element x y z (fractional)
Fe  0.0000  0.0000  0.0000  4 Se 2.74, 4 Ag 2.91
Ag  0.2478  0.7478  0.5000  4 Ag 2.74, 2 Fe 2.91, 2 Se 2.94
Ag  0.7522  0.2522  0.5000  4 Ag 2.74, 2 Fe 2.91, 2 Se 2.94
Se  0.5000  0.5000  0.0000  4 Fe 2.74, 4 Ag 2.94

Entry 4:
# Er5Cd2Ag2

Er5Cd2Ag2 after structural relaxation (GGA-PBE, Alexandria).

Properties
As for the calculated volume: 26.38 Å³/atom. Its calculated formation energy is -18.1 kJ/mol of atoms.

abc: 9.4177 9.4177 7.4155
angles: 90.00 90.00 46.22
Last column: nearest neighbours and their distance in Å.
Element x y z (fractional)
Er  0.0000  0.0000  0.0000  4 Ag 2.90-2.91
Er  0.0488  0.6842  0.6773  3 Ag 3.05-3.28, 3 Cd 3.11-3.16
Er  0.1842  0.5488  0.1773  3 Ag 3.05-3.28, 3 Cd 3.11-3.16
Er  0.3158  0.9512  0.6773  3 Ag 3.05-3.28, 3 Cd 3.11-3.16
Er  0.4512  0.8158  0.1773  3 Ag 3.05-3.28, 3 Cd 3.11-3.16
Er  0.5000  0.5000  0.5000  4 Ag 2.90-2.91
Er  0.5488  0.1842  0.8227  3 Ag 3.05-3.28, 3 Cd 3.11-3.16
Er  0.6842  0.0488  0.3227  3 Ag 3.05-3.28, 3 Cd 3.11-3.16
Er  0.8158  0.4512  0.8227  3 Ag 3.05-3.28, 3 Cd 3.11-3.16
Er  0.9512  0.3158  0.3227  3 Ag 3.05-3.28, 3 Cd 3.11-3.16
Cd  0.2240  0.2240  0.0000  6 Er 3.11-3.16
Cd  0.2760  0.2760  0.5000  6 Er 3.11-3.16
Cd  0.7240  0.7240  0.5000  6 Er 3.11-3.16
Cd  0.7760  0.7760  0.0000  6 Er 3.11-3.16
Ag  0.1292  0.8708  0.3695  1 Ag 2.72, 2 Er 2.90-2.91
Ag  0.3708  0.6292  0.8695  1 Ag 2.72, 2 Er 2.90-2.91
Ag  0.6292  0.3708  0.1305  1 Ag 2.72, 2 Er 2.90-2.91
Ag  0.8708  0.1292  0.6305  1 Ag 2.72, 2 Er 2.90-2.91

Entry 5:
# InAgOs

InAgOs after structural relaxation (GGA-PBE, Alexandria).

Properties
As for the calculated volume: 17.77 Å³/atom. Its calculated formation energy is 62.5 kJ/mol of atoms. The value obtained for the energy relative to the lowest polymorph listed for this composition is 51 meV per atom.

abc: 6.5288 6.5288 6.5288
angles: 154.03 154.03 37.06
Last column: nearest neighbours and their distance in Å.
Element x y z (fractional)
In  0.0000  0.0000  0.0000  4 Os 2.84, 4 In 2.93, 4 Ag 3.06
Ag  0.3185  0.3185  0.0000  4 Os 2.89, 4 Ag 2.93, 4 In 3.06
Os  0.6562  0.6562  0.0000  4 In 2.84, 4 Ag 2.89, 4 Os 2.93

Entry 6:
# KMnRh

KMnRh after structural relaxation (GGA-PBE, Alexandria).

Properties
As for the calculated volume: 21.03 Å³/atom. Its calculated formation energy is 63.6 kJ/mol of atoms. The value obtained for the energy relative to the lowest polymorph listed for this composition is 269 meV per atom.

abc: 3.0711 3.0711 7.7226
angles: 90.00 90.00 120.00
Last column: nearest neighbours and their distance in Å.
Element x y z (fractional)
K  0.0000  0.0000  0.0000  6 K 3.07, 3 Rh 3.21
Mn  0.3333  0.6667  0.4140  3 Rh 2.56
Rh  0.6667  0.3333  0.6528  3 Mn 2.56

Entry 7:
# TbHoTi

TbHoTi after structural relaxation (GGA-PBE, Alexandria).

Properties
As for the calculated volume: 26.87 Å³/atom. Its calculated formation energy is 10.1 kJ/mol of atoms.

abc: 3.5645 3.5645 12.6876
angles: 90.00 90.00 90.00
Last column: nearest neighbours and their distance in Å.
Element x y z (fractional)
Tb  0.2500  0.2500  0.1996  5 Ti 3.08-3.21
Tb  0.7500  0.7500  0.8004  5 Ti 3.08-3.21
Ho  0.2500  0.2500  0.5938  8 Ho 3.47-3.56, 4 Tb 3.64
Ho  0.7500  0.7500  0.4062  8 Ho 3.47-3.56, 4 Tb 3.64
Ti  0.2500  0.2500  0.9571  4 Ti 2.75
Ti  0.7500  0.7500  0.0429  4 Ti 2.75

Entry 8:
# CeErTeS

CeErTeS after structural relaxation (GGA-PBE, Alexandria).

Properties
Its total energy is -5.941 eV per atom. As for the calculated volume: 26.27 Å³/atom.

abc: 7.9532 7.9532 7.9532
angles: 29.07 29.07 29.07
Last column: nearest neighbours and their distance in Å.
Element x y z (fractional)
Ce  0.0000  0.0000  0.0000  3 S 3.00, 3 Te 3.16
Er  0.1538  0.1538  0.1538  3 S 2.80, 3 Te 3.01
Te  0.5719  0.5719  0.5719  3 Er 3.01, 3 Ce 3.16
S  0.7507  0.7507  0.7507  3 Er 2.80, 3 Ce 3.00

Question: Look up the calculated volume of the sixth one.
Answer: 21.03 Å³/atom